Entry 1:
Material: Ac6CuOs
Method: DFT, GGA-PBE
State: optimized geometry

Summary:
volume	326.9	Å³/f.u.
space group	C2/m
energy of formation from the pure elements	0.002	eV per atom
total energy	-0.367	Ry/atom

Unit cell a=7.2723 b=7.2723 c=7.3694 alpha=98.96 beta=98.96 gamma=118.31
Fractional positions:
Ac: 0.5639 0.8957 0.7437
Ac: 0.2479 0.2479 0.7410
Ac: 0.4361 0.1043 0.2563
Ac: 0.7521 0.7521 0.2590
Ac: 0.1043 0.4361 0.2563
Ac: 0.8957 0.5639 0.7437
Cu: 0.0000 0.0000 0.0000
Os: 0.5000 0.5000 0.5000

***

Entry 2:
Material: AcPaCuOs
Method: DFT, GGA-PBE
State: optimized geometry

Summary:
volume	91.4	Å³/f.u.
space group	F-43m
energy of formation from the pure elements	0.143	eV per atom
total energy	-0.521	Ry/atom

Unit cell a=5.0565 b=5.0565 c=5.0565 alpha=60.00 beta=60.00 gamma=60.00
Fractional positions:
Ac: 0.0000 0.0000 0.0000
Pa: 0.5000 0.5000 0.5000
Cu: 0.7500 0.7500 0.7500
Os: 0.2500 0.2500 0.2500

***

Entry 3:
Material: AcScCuOs
Method: DFT, GGA-PBE
State: optimized geometry

Summary:
volume	85.4	Å³/f.u.
space group	F-43m
energy of formation from the pure elements	0.006	eV per atom
total energy	-0.473	Ry/atom

Unit cell a=4.9422 b=4.9422 c=4.9422 alpha=60.00 beta=60.00 gamma=60.00
Fractional positions:
Ac: 0.0000 0.0000 0.0000
Cu: 0.2500 0.2500 0.2500
Sc: 0.5000 0.5000 0.5000
Os: 0.7500 0.7500 0.7500